# YBeAu3

A PBEsol-optimized structure of YBeAu3 (meta-GGA SCAN, the Alexandria database).

Computed properties:
M_tot: 0.000 μB/atom
Crystal system: cubic
Energy of formation from the pure elements: -0.641 eV/atom
Offset from the most stable computed form: 0.139 eV/atom
E_tot: -242.87 eV per cell

abc: 4.485 4.485 4.485
angles: 90.00 90.00 90.00
Atoms (fractional coordinates):
Y: 0.500 0.500 0.500
Be: 0.000 0.000 0.000
Au: 0.000 0.500 0.000
Au: 0.000 0.000 0.500
Au: 0.500 0.000 0.000